An optimized crystal structure of AcTb2Sc. Source: Alexandria via LeMat-Bulk, functional GGA-PBE.

Calculated formation energy = 104 meV per atom
DOS(E_F) = 5.3 states/eV/cell
Crystal system = trigonal
Calculated total energy = -4.8212 eV per atom

Cell lengths 3.637, 3.637, 11.739 Å; angles 81.09, 81.09, 60.00 degrees
Fractional coordinates of all 4 atoms:
Tb: 0.076 0.076 0.771
Tb: 0.257 0.257 0.229
Sc: 0.666 0.666 0.001
Ac: 0.500 0.500 0.499